1.
A plane-wave DFT calculation with PBEsol was carried out for crystalline TlMo2Ir at its relaxed geometry.

The structure belongs to space group Fm-3m (No. 225); the cell edges are 6.401, 6.401 and 6.401 Å and the angles 90.00°, 90.00° and 90.00°. The asymmetric unit holds Tl at (0.000, 0.000, 0.000), Mo at (0.250, 0.250, 0.250) and Ir at (0.000, 0.000, 0.500).

---

2.
A plane-wave DFT calculation with PBEsol was carried out for crystalline MoIrW2 at its relaxed geometry.

The structure belongs to space group I4/mmm (No. 139); the cell edges are 3.906, 3.906 and 7.980 Å and the angles 90.00°, 90.00° and 90.00°. The asymmetric unit holds Mo at (0.000, 0.000, 0.000), Ir at (0.000, 0.000, 0.500) and W at (0.000, 0.500, 0.250).

---

3.
A plane-wave DFT calculation with PBEsol was carried out for crystalline MoIrW2 at its relaxed geometry.

The structure belongs to space group P4mm (No. 99); the cell edges are 3.188, 3.188 and 6.033 Å and the angles 90.00°, 90.00° and 90.00°. The asymmetric unit holds Mo at (0.000, 0.000, 0.000), Ir at (0.500, 0.500, 0.733), W at (0.000, 0.000, 0.491) and W at (0.500, 0.500, 0.237).

---

4.
A plane-wave DFT calculation with PBEsol was carried out for crystalline MoIr2W at its relaxed geometry.

The structure belongs to space group Pmm2 (No. 25); the cell edges are 2.753, 4.423 and 4.802 Å and the angles 90.00°, 90.00° and 90.00°. The asymmetric unit holds Mo at (0.000, 0.000, 0.000), Ir at (0.500, 0.000, 0.502), Ir at (0.500, 0.500, 0.151) and W at (0.000, 0.500, 0.657).

---

5.
A plane-wave DFT calculation with PBEsol was carried out for crystalline MoIrW2 at its relaxed geometry.

The structure belongs to space group C2/m (No. 12); the cell edges are 9.285, 2.715 and 4.898 Å and the angles 90.00°, 98.77° and 90.00°. The asymmetric unit holds Mo at (0.000, 0.000, 0.000), Ir at (0.000, 0.500, 0.500) and W at (0.240, 0.000, 0.743).

---

6.
A plane-wave DFT calculation with PBEsol was carried out for crystalline MoIr2W at its relaxed geometry.

The structure belongs to space group P4/mmm (No. 123); the cell edges are 3.881, 3.881 and 3.881 Å and the angles 90.00°, 90.00° and 90.00°. The asymmetric unit holds Mo at (0.000, 0.000, 0.000), Ir at (0.000, 0.500, 0.500) and W at (0.500, 0.500, 0.000).

---

7.
A plane-wave DFT calculation with PBEsol was carried out for crystalline MoIr2W at its relaxed geometry.

The structure belongs to space group C2/m (No. 12); the cell edges are 9.169, 2.742 and 4.746 Å and the angles 90.00°, 100.05° and 90.00°. The asymmetric unit holds Mo at (0.000, 0.000, 0.000), Ir at (0.249, 0.000, 0.750) and W at (0.000, 0.500, 0.500).

---

8.
A plane-wave DFT calculation with PBEsol was carried out for crystalline MoIrW2 at its relaxed geometry.

The structure belongs to space group I-4m2 (No. 119); the cell edges are 3.889, 3.889 and 8.051 Å and the angles 90.00°, 90.00° and 90.00°. The asymmetric unit holds Mo at (0.000, 0.000, 0.000), Ir at (0.000, 0.500, 0.750), W at (0.000, 0.000, 0.500) and W at (0.000, 0.500, 0.250).

---

Relative energy among the computed polymorphs values, unit meV per atom, following the record order: 391; 0; 86; 0; 0; 25; 222; 5.
ΔE_f values, unit meV/atom, following the record order: 675; 61; 146; -335; 60; -311; -114; 66.
Calculated total energy values, unit eV per atom, following the record order: -8.32; -12.24; -12.16; -11.64; -12.24; -11.62; -11.42; -12.24.